First-principles (PBE) data for a geometry-optimized TaReAg2 structure, as listed in the Alexandria database.

abc: 3.8288 3.8288 4.5631
angles: 90.00 90.00 90.00
Fractional positions:
Ta1 0.0000 0.5000 0.5000
Re1 0.5000 0.0000 0.5000
Ag1 0.0000 0.0000 0.0000
Ag2 0.5000 0.5000 0.0000

Results
Its total energy is -7.0871 eV/atom. The crystal system is tetragonal. The distance to the lowest polymorph of the same formula comes out at 0.191 eV per atom. Its symmetry is P4/mmm, No. 123. As for the calculated formation energy: 0.414 eV per atom.

First-principles (PBE) data for a geometry-optimized TiHOsPd2 structure, as listed in the Alexandria database.

abc: 3.8388 4.2041 3.8388
angles: 90.00 90.00 90.00
Fractional positions:
Ti1 0.0000 0.5000 0.0000
Pd1 0.5000 0.0000 0.0000
Pd2 0.0000 0.0000 0.5000
Os1 0.5000 0.5000 0.5000
H1 0.0000 0.0000 0.0000

Results
Its total energy is -6.7471 eV/atom. The crystal system is tetragonal. Its symmetry is P4/mmm, No. 123.

First-principles (PBE) data for a geometry-optimized CaCu2I4 structure, as listed in the Alexandria database.

abc: 6.2269 6.2269 6.7531
angles: 90.00 90.00 90.00
Fractional positions:
I1 0.2655 0.7345 0.7183
I2 0.2655 0.2655 0.2817
I3 0.7345 0.2655 0.7183
I4 0.7345 0.7345 0.2817
Cu1 0.0000 0.5000 0.5000
Cu2 0.5000 0.0000 0.5000
Ca1 0.0000 0.0000 0.0000

Results
Its total energy is -3.0244 eV/atom. The crystal system is tetragonal. Its symmetry is P-42m, No. 111. For the energy relative to the elements, uncorrected, the calculation gives -0.68 eV/atom.

First-principles (PBE) data for a geometry-optimized TbGa3NiRh structure, as listed in the Alexandria database.

abc: 5.4853 7.7008 6.5609
angles: 125.94 90.00 90.00
Fractional positions:
Ga1 0.5000 0.2501 0.0000
Ga2 0.2500 0.1767 0.3533
Ga3 0.5000 0.7499 0.0000
Ga4 0.0000 0.7499 0.0000
Ga5 0.0000 0.2501 0.0000
Ga6 0.7500 0.8233 0.6467
Tb1 0.2500 0.7039 0.4078
Tb2 0.7500 0.2961 0.5922
Rh1 0.7500 0.5898 0.1796
Rh2 0.2500 0.4102 0.8204
Ni1 0.7500 0.0467 0.0934
Ni2 0.2500 0.9533 0.9066

Results
Its total energy is -4.9224 eV/atom. The crystal system is orthorhombic. Its symmetry is Cmcm, No. 63. As for the calculated formation energy: -0.448 eV per atom.

First-principles (PBE) data for a geometry-optimized SrRhW structure, as listed in the Alexandria database.

abc: 3.0890 3.0890 7.3303
angles: 90.00 90.00 120.00
Fractional positions:
Rh1 0.0000 0.0000 0.9659
W1 0.3333 0.6667 0.7067
Sr1 0.6667 0.3333 0.3274

Results
Its total energy is -6.5605 eV/atom. The crystal system is trigonal. The distance to the lowest polymorph of the same formula comes out at 0.360 eV per atom. Its symmetry is P3m1, No. 156. As for the calculated formation energy: 0.768 eV per atom.

First-principles (PBE) data for a geometry-optimized Nd8BiRh2 structure, as listed in the Alexandria database.

abc: 5.7156 8.2425 8.2425
angles: 115.49 97.45 97.45
Fractional positions:
Nd1 0.9343 0.6682 0.9197
Nd2 0.0657 0.3318 0.0803
Nd3 0.0657 0.0803 0.3318
Nd4 0.6971 0.3998 0.3998
Nd5 0.9343 0.9197 0.6682
Nd6 0.5000 0.7513 0.2487
Nd7 0.5000 0.2487 0.7513
Nd8 0.3029 0.6002 0.6002
Rh1 0.0000 0.7058 0.2942
Rh2 0.0000 0.2942 0.7058
Bi1 0.5000 0.0000 0.0000

Results
Its total energy is -5.5204 eV/atom. The crystal system is monoclinic. Its symmetry is C2/m, No. 12. As for the calculated formation energy: -0.363 eV per atom.

First-principles (PBE) data for a geometry-optimized Th3Ga2Co6 structure, as listed in the Alexandria database.

abc: 7.7795 7.7791 7.7791
angles: 109.47 109.47 109.47
Fractional positions:
Th1 0.0000 0.7098 0.7098
Th2 0.0000 0.2902 0.2902
Th3 0.7098 0.0000 0.7098
Th4 0.2902 0.0000 0.2902
Th5 0.2902 0.2902 0.0000
Th6 0.7098 0.7098 0.0000
Co1 0.3484 0.6516 0.0000
Co2 0.3484 0.3484 0.6968
Co3 0.0000 0.3484 0.6516
Co4 0.6516 0.3484 0.0000
Co5 0.3484 0.6968 0.3484
Co6 0.6968 0.3484 0.3484
Co7 0.3484 0.0000 0.6516
Co8 0.0000 0.6516 0.3484
Co9 0.6516 0.6516 0.3032
Co10 0.6516 0.3032 0.6516
Co11 0.3032 0.6516 0.6516
Co12 0.6516 0.0000 0.3484
Ga1 0.5000 0.5000 0.5000
Ga2 0.0000 0.5000 0.0000
Ga3 0.0000 0.0000 0.5000
Ga4 0.5000 0.0000 0.0000

Results
Its total energy is -6.8188 eV/atom. The crystal system is cubic. Its symmetry is Im-3m, No. 229. As for the calculated formation energy: -0.369 eV per atom.

First-principles (PBE) data for a geometry-optimized FePBr2 structure, as listed in the Alexandria database.

abc: 9.3577 9.3577 9.3577
angles: 20.89 20.89 20.89
Each line ends with the local moment (μB).
Fractional positions:
Br1 0.9167 0.9167 0.9167  0.06
Br2 0.0833 0.0833 0.0833  0.06
P1 0.5000 0.5000 0.5000  -0.18
Fe1 0.0000 0.0000 0.0000  3.05

Results
Its total energy is -3.5398 eV/atom. The crystal system is trigonal. The distance to the lowest polymorph of the same formula comes out at 0.813 eV per atom. Its symmetry is R-3m, No. 166. For the energy relative to the elements, uncorrected, the calculation gives 0.76 eV/atom.